[1]
First-principles (PBE-GGA) data for a relaxed structure of MnRu2Pt, as listed in Alexandria.

Calculated values
**ΔE_f**: -2 kJ/mol of atoms
**Raw total energy**: -8.466 eV per atom
**Density**: 13.23 g/cm³
**SG**: Cm (8)

extended XYZ file:
```
4
Lattice="-0.200 -4.265 -1.972 -0.326 -4.634 0.734 -4.649 -0.526 -0.288" Properties=species:S:1:pos:R:3 pbc="T T T"
Ru -1.237 -2.357 -0.379
Ru -0.624 -8.886 -1.241
Pt -3.837 -7.072 -1.143
Mn -2.591 -4.723 -0.765
```


[2]
First-principles (PBE-GGA) data for a relaxed structure of Sr2TcSn2, as listed in Alexandria.

Calculated values
**ΔE_f**: -8 kJ/mol of atoms
**Raw total energy**: -4.427 eV per atom
**Density**: 5.88 g/cm³
**SG**: P4/mbm (127)

extended XYZ file:
```
10
Lattice="-1.223 -5.136 5.291 5.983 -3.827 -2.332 2.977 2.661 3.272" Properties=species:S:1:pos:R:3 pbc="T T T"
Sr 5.298 -2.123 0.979
Sr 2.439 -4.179 5.253
Sr 2.115 -1.012 2.972
Sr 5.622 -5.289 3.260
Tc 0.000 0.000 0.000
Tc 2.380 -4.482 1.480
Sn 1.956 -2.102 -0.070
Sn 2.804 -6.862 3.030
Sn 0.072 -3.857 3.071
Sn 4.687 -5.107 -0.111
```


[3]
First-principles (PBE-GGA) data for a relaxed structure of YTm3Mg6, as listed in Alexandria.

Calculated values
**ΔE_f**: -6 kJ/mol of atoms
**Raw total energy**: -3.002 eV per atom
**Density**: 4.75 g/cm³
**SG**: P2_1/m (11)

extended XYZ file:
```
20
Lattice="5.241 0.000 0.000 0.000 8.815 -2.660 0.000 0.245 11.159" Properties=species:S:1:pos:R:3 pbc="T T T"
Mg 1.310 2.286 4.863
Mg 1.310 7.593 1.095
Mg 3.931 7.728 6.699
Mg 3.931 6.774 3.636
Mg 3.931 5.131 8.543
Mg 1.310 1.331 1.800
Mg 3.931 3.099 2.364
Mg 1.310 0.644 9.956
Mg 3.931 1.467 7.405
Mg 3.931 8.415 -1.457
Mg 1.310 3.929 -0.044
Mg 1.310 5.960 6.135
Tm 1.310 3.300 7.976
Tm 1.310 4.898 2.997
Tm 3.931 2.472 10.434
Tm 1.310 6.588 -1.934
Tm 3.931 4.161 5.502
Tm 3.931 5.759 0.524
Y 3.931 0.552 4.292
Y 1.310 8.508 4.208
```


[4]
First-principles (PBE-GGA) data for a relaxed structure of FeSbSeI2, as listed in Alexandria.

Calculated values
**Raw total energy**: -3.268 eV per atom
**Density**: 6.40 g/cm³
**SG**: P4/mmm (123)
**E_form (uncorrected)**: 0.566 eV/atom

extended XYZ file:
```
5
Lattice="5.130 0.000 0.000 0.000 5.130 0.000 0.000 0.000 5.031" Properties=species:S:1:pos:R:3 pbc="T T T"
Se 2.565 2.565 2.516
I 2.565 0.000 0.000
I 0.000 2.565 0.000
Fe 0.000 0.000 0.000
Sb 0.000 0.000 2.516
```


[5]
First-principles (PBE-GGA) data for a relaxed structure of KInCu, as listed in Alexandria.

Calculated values
**ΔE_f**: 15 kJ/mol of atoms
**Raw total energy**: -2.493 eV per atom
**Density**: 3.78 g/cm³
**SG**: P-6m2 (187)

extended XYZ file:
```
3
Lattice="-2.837 -3.549 0.085 4.177 -0.471 -1.725 1.840 -1.355 4.825" Properties=species:S:1:pos:R:3 pbc="T T T"
K 3.066 -2.401 2.096
Cu 0.306 -0.226 0.803
In -0.192 -2.749 0.286
```


[6]
First-principles (PBE-GGA) data for a relaxed structure of CdFe2N, as listed in Alexandria.

Calculated values
**Raw total energy**: -4.901 eV per atom
**Density**: 8.11 g/cm³
**SG**: Fm-3m (225)
**E_form (uncorrected)**: 1.641 eV/atom

extended XYZ file:
```
4
Lattice="0.653 -3.994 -0.654 -1.720 -2.789 2.464 -3.038 -2.373 -1.395" Properties=species:S:1:pos:R:3 pbc="T T T"
N 0.000 0.000 0.000
Fe -1.026 -2.289 0.104
Fe -3.078 -6.867 0.311
Cd -2.052 -4.578 0.207
```


[7]
First-principles (PBE-GGA) data for a relaxed structure of SmY2Ho2Tm2, as listed in Alexandria.

Calculated values
**ΔE_f**: 14 kJ/mol of atoms
**Raw total energy**: -4.961 eV per atom
**Density**: 7.27 g/cm³
**SG**: C2/m (12)

extended XYZ file:
```
7
Lattice="-2.727 -0.671 2.073 -3.757 -1.164 -8.257 4.137 -6.346 3.387" Properties=species:S:1:pos:R:3 pbc="T T T"
Sm 2.069 -3.173 1.693
Ho -1.135 -2.034 0.787
Ho -1.211 -6.148 -3.584
Y -3.215 -1.633 -4.758
Y 0.869 -6.549 1.961
Tm 0.417 -4.580 -0.934
Tm -2.764 -3.602 -1.863
```


[8]
First-principles (PBE-GGA) data for a relaxed structure of ScVSeBr2, as listed in Alexandria.

Calculated values
**Raw total energy**: -4.848 eV per atom
**Density**: 3.88 g/cm³
**SG**: P4/mmm (123)
**E_form (uncorrected)**: -0.392 eV/atom

extended XYZ file:
```
5
Lattice="5.213 0.000 0.000 0.000 5.213 0.000 0.000 0.000 5.274" Properties=species:S:1:pos:R:3 pbc="T T T"
Se 0.000 0.000 2.637
Sc 0.000 0.000 0.000
Br 2.606 0.000 0.000
Br 0.000 2.606 0.000
V 2.606 2.606 2.637
```


[9]
First-principles (PBE-GGA) data for a relaxed structure of AcHoPt4, as listed in Alexandria.

Calculated values
**ΔE_f**: -100 kJ/mol of atoms
**Raw total energy**: -6.516 eV per atom
**Density**: 16.13 g/cm³
**SG**: F-43m (216)

extended XYZ file:
```
6
Lattice="5.546 0.000 0.000 2.773 4.803 0.000 2.773 1.601 4.529" Properties=species:S:1:pos:R:3 pbc="T T T"
Pt 6.927 3.999 2.828
Pt 5.546 1.608 2.828
Pt 4.166 3.999 2.828
Pt 5.546 3.202 0.574
Ho 2.773 1.601 1.132
Ac 0.000 0.000 0.000
```


[10]
First-principles (PBE-GGA) data for a relaxed structure of Pu2Be4AlGe3, as listed in Alexandria.

Calculated values
**ΔE_f**: -26 kJ/mol of atoms
**Raw total energy**: -6.381 eV per atom
**Density**: 8.26 g/cm³
**SG**: P-4m2 (115)

extended XYZ file:
```
10
Lattice="-1.871 1.415 -3.202 1.180 -3.163 -2.087 -8.143 -4.783 2.645" Properties=species:S:1:pos:R:3 pbc="T T T"
Be 0.000 0.000 0.000
Be -2.352 -3.310 -0.088
Be -6.137 -2.348 0.089
Be -0.346 -0.874 -2.645
Ge -4.071 -2.392 1.323
Ge -0.470 -2.204 -0.699
Ge -8.018 -3.453 0.700
Pu -2.945 -0.473 -0.948
Pu -5.543 -5.185 0.949
Al -4.417 -3.266 -1.322
```


[11]
First-principles (PBE-GGA) data for a relaxed structure of La2Tb3Tm6, as listed in Alexandria.

Calculated values
**ΔE_f**: 18 kJ/mol of atoms
**Raw total energy**: -4.412 eV per atom
**Density**: 7.95 g/cm³
**SG**: C2/m (12)

extended XYZ file:
```
11
Lattice="5.823 0.000 1.738 2.912 5.268 0.869 -1.350 0.000 11.640" Properties=species:S:1:pos:R:3 pbc="T T T"
Tm 3.338 3.514 10.092
Tm 3.336 0.000 10.092
Tm 4.046 1.755 4.155
Tm 0.427 1.755 9.223
Tm 6.958 3.514 5.024
Tm 1.137 0.000 3.285
Tb 0.000 0.000 0.000
Tb 5.823 3.531 1.738
Tb 2.912 1.737 0.869
La 2.236 3.509 6.689
La 5.148 1.760 7.558
```


[12]
First-principles (PBE-GGA) data for a relaxed structure of TaFePb3, as listed in Alexandria.

Calculated values
**ΔE_f**: 113 kJ/mol of atoms
**Raw total energy**: -5.116 eV per atom
**Density**: 10.83 g/cm³
**SG**: Pm-3m (221)

extended XYZ file:
```
5
Lattice="-1.462 -0.095 4.871 -1.849 -4.695 -0.646 4.508 -1.956 1.315" Properties=species:S:1:pos:R:3 pbc="T T T"
Pb 2.254 -0.978 0.658
Pb -0.924 -2.348 -0.323
Pb -0.731 -0.047 2.436
Fe 0.000 0.000 0.000
Ta 0.598 -3.373 2.770
```


[13]
First-principles (PBE-GGA) data for a relaxed structure of Tl5Pb6, as listed in Alexandria.

Calculated values
**ΔE_f**: 4 kJ/mol of atoms
**Raw total energy**: -3.052 eV per atom
**Density**: 10.70 g/cm³
**SG**: C2/m (12)

extended XYZ file:
```
11
Lattice="-6.237 7.210 2.753 -8.158 -0.782 1.448 -0.480 0.646 5.750" Properties=species:S:1:pos:R:3 pbc="T T T"
Pb -8.393 2.309 6.927
Pb -1.326 1.565 2.603
Pb -11.936 6.338 4.434
Pb -2.940 0.736 5.517
Pb -6.482 4.765 3.024
Pb -5.392 6.291 5.900
Tl -9.919 4.006 2.805
Tl -6.151 1.497 4.291
Tl -3.359 3.928 4.252
Tl -8.725 5.577 5.660
Tl -4.477 2.423 1.396
```


Number 1: V 56.8 Å³/f.u.. Number 2: V 144.2 Å³/f.u.. Number 3: V 259.5 Å³/f.u.. Number 4: V 132.4 Å³/f.u.. Number 5: V 95.5 Å³/f.u.. Number 6: V 48.7 Å³/f.u.. Number 7: V 227.4 Å³/f.u.. Number 8: V 143.3 Å³/f.u.. Number 9: V 120.6 Å³/f.u.. Number 10: V 154.5 Å³/f.u.. Number 11: V 369.5 Å³/f.u.. Number 12: V 131.6 Å³/f.u.. Number 13: V 351.6 Å³/f.u..